# 1
{
  "formula": "Ba8Ag2Au",
  "functional": "PBE-GGA",
  "state": "relaxed",
  "m_tot_mub_per_fu": 0.00,
  "sg": "C2/m",
  "delta_e_f_ev_per_atom": -0.187,
  "polymorph_energy_ev_per_atom": 0.023,
  "lattice_angstrom": [[5.824, 0.000, 0.000], [0.000, 8.113, 0.382], [-2.912, -3.021, 10.355]],
  "species": ["Ba", "Ba", "Ba", "Ba", "Ba", "Ba", "Ba", "Ba", "Ag", "Ag", "Au"],
  "fractional_positions": [[0.662, 0.974, 0.323], [0.035, 0.802, 0.071], [0.212, 0.329, 0.425], [0.411, 0.574, 0.822], [0.589, 0.426, 0.178], [0.338, 0.026, 0.677], [0.965, 0.198, 0.929], [0.788, 0.671, 0.575], [0.810, 0.268, 0.620], [0.190, 0.732, 0.380], [0.500, 0.000, 0.000]]
}

***

# 2
{
  "formula": "Li2ZrSb2",
  "functional": "PBE-GGA",
  "state": "relaxed",
  "e_form_raw_ev_per_atom": -0.399,
  "m_tot_mub_per_fu": 0.00,
  "sg": "P4/mbm",
  "lattice_angstrom": [[8.064, 0.000, 0.000], [0.000, 8.064, 0.000], [0.000, 0.000, 3.254]],
  "species": ["Zr", "Zr", "Li", "Li", "Li", "Li", "Sb", "Sb", "Sb", "Sb"],
  "fractional_positions": [[0.000, 0.000, 0.000], [0.500, 0.500, 0.000], [0.626, 0.874, 0.500], [0.874, 0.374, 0.500], [0.374, 0.126, 0.500], [0.126, 0.626, 0.500], [0.672, 0.172, 0.000], [0.172, 0.328, 0.000], [0.328, 0.828, 0.000], [0.828, 0.672, 0.000]]
}

***

# 3
{
  "formula": "Tl12CdIn6",
  "functional": "PBE-GGA",
  "state": "relaxed",
  "m_tot_mub_per_fu": 0.00,
  "sg": "R-3",
  "delta_e_f_ev_per_atom": 0.056,
  "polymorph_energy_ev_per_atom": 0.020,
  "lattice_angstrom": [[8.366, -0.016, -1.925], [-2.415, 8.010, -1.925], [-0.012, -0.016, 8.585]],
  "species": ["Tl", "Tl", "Tl", "Tl", "Tl", "Tl", "Tl", "Tl", "Tl", "Tl", "Tl", "Tl", "In", "In", "In", "In", "In", "In", "Cd"],
  "fractional_positions": [[0.740, 0.001, 0.260], [0.427, 0.808, 0.427], [0.573, 0.573, 0.192], [0.192, 0.573, 0.573], [0.999, 0.740, 0.260], [0.001, 0.260, 0.740], [0.808, 0.427, 0.427], [0.260, 0.740, 0.001], [0.260, 0.999, 0.740], [0.740, 0.260, 0.999], [0.573, 0.192, 0.573], [0.427, 0.427, 0.808], [0.842, 0.842, 0.596], [0.842, 0.596, 0.842], [0.158, 0.158, 0.404], [0.404, 0.158, 0.158], [0.596, 0.842, 0.842], [0.158, 0.404, 0.158], [0.000, 0.000, 0.000]]
}

***

# 4
{
  "formula": "BaAcLa2Hg4",
  "functional": "PBE-GGA",
  "state": "relaxed",
  "m_tot_mub_per_fu": 0.09,
  "sg": "R-3m",
  "delta_e_f_ev_per_atom": -0.467,
  "lattice_angstrom": [[-4.490, -3.291, -1.086], [0.741, -5.166, -2.221], [-0.683, -6.409, 7.436]],
  "species": ["Hg", "Hg", "Hg", "Hg", "La", "La", "Ba", "Ac"],
  "fractional_positions": [[0.622, 0.622, 0.134], [0.873, 0.873, 0.382], [0.127, 0.127, 0.618], [0.378, 0.378, 0.866], [0.749, 0.749, 0.752], [0.251, 0.251, 0.248], [0.000, 0.000, 0.000], [0.500, 0.500, 0.500]]
}